Below is La2Mg2Si after structural relaxation, with properties calculated at the PBE level.

Values from the calculation:
E_form (uncorrected) in eV/atom: -0.13
Crystal system: tetragonal
N(E_F) in states/eV per atom: 0.813

Geometry as CIF:
```
data_La2Mg2Si
_space_group_name_H-M_alt 'P 4/m b m'
_space_group_IT_number 127
_space_group_name_Hall '-P 4 2ab'
_cell_length_a 7.203
_cell_length_b 7.203
_cell_length_c 5.208
_cell_angle_alpha 90.00
_cell_angle_beta 90.00
_cell_angle_gamma 90.00
loop_
_atom_site_label
_atom_site_type_symbol
_atom_site_fract_x
_atom_site_fract_y
_atom_site_fract_z
_atom_site_occupancy
La1 La 0.170 0.330 0.000 1
Mg1 Mg 0.140 0.640 0.500 1
Si1 Si 0.000 0.000 0.500 1
```